No. 1
# PBE Nd2PIF, relaxed
# **Magnetic moment**: 0.0 μB/cell
# **E_tot**: -0.4237 Ry per atom
data_Nd2PIF
_space_group_name_H-M_alt 'P 3 m 1'
_space_group_IT_number 156
_space_group_name_Hall 'P 3 -2"'
_cell_length_a 4.0738
_cell_length_b 4.0738
_cell_length_c 9.0637
_cell_angle_alpha 90.00
_cell_angle_beta 90.00
_cell_angle_gamma 120.00
loop_
_atom_site_label
_atom_site_type_symbol
_atom_site_fract_x
_atom_site_fract_y
_atom_site_fract_z
Nd1 Nd 0.0000 0.0000 0.0000
Nd2 Nd 0.3333 0.6667 0.6408
P1 P 0.6667 0.3333 0.8225
I1 I 0.3333 0.6667 0.2429
F1 F 0.0000 0.0000 0.5437

No. 2
# PBE ZnIO3F, relaxed
# **E_tot**: -0.3135 Ry per atom
data_ZnIO3F
_space_group_name_H-M_alt 'P 1 21/c 1'
_space_group_IT_number 14
_space_group_name_Hall '-P 2ybc'
_cell_length_a 4.938
_cell_length_b 5.152
_cell_length_c 12.898
_cell_angle_alpha 90.00
_cell_angle_beta 106.91
_cell_angle_gamma 90.00
loop_
_atom_site_label
_atom_site_type_symbol
_atom_site_fract_x
_atom_site_fract_y
_atom_site_fract_z
Zn1 Zn 0.097 0.250 0.066
I1 I 0.315 0.198 0.328
O1 O 0.041 0.088 0.205
O2 O 0.156 0.071 0.431
O3 O 0.452 0.083 0.672
F1 F 0.271 0.587 0.532

No. 3
# PBE Os2IF4, relaxed
# **Magnetic moment**: 0.0 μB/cell
# **E_tot**: -0.3852 Ry per atom
data_Os2IF4
_space_group_name_H-M_alt 'C 1 m 1'
_space_group_IT_number 8
_space_group_name_Hall 'C -2y'
_cell_length_a 5.320
_cell_length_b 4.788
_cell_length_c 9.091
_cell_angle_alpha 90.00
_cell_angle_beta 101.26
_cell_angle_gamma 90.00
loop_
_atom_site_label
_atom_site_type_symbol
_atom_site_fract_x
_atom_site_fract_y
_atom_site_fract_z
Os1 Os 0.000 0.000 0.000
Os2 Os 0.121 0.500 0.081
I1 I 0.366 0.000 0.540
F1 F 0.262 0.500 0.288
F2 F 0.269 0.000 0.192
F3 F 0.350 0.000 0.889
F4 F 0.366 0.500 0.792

No. 4
# PBE OsI2F2, relaxed
# **Magnetic moment**: 4.5 μB/cell
# **E_tot**: -0.3199 Ry per atom
data_OsI2F2
_space_group_name_H-M_alt 'I m m m'
_space_group_IT_number 71
_space_group_name_Hall '-I 2 2'
_cell_length_a 7.313
_cell_length_b 7.629
_cell_length_c 7.654
_cell_angle_alpha 90.00
_cell_angle_beta 90.00
_cell_angle_gamma 90.00
loop_
_atom_site_label
_atom_site_type_symbol
_atom_site_fract_x
_atom_site_fract_y
_atom_site_fract_z
Os1 Os 0.000 0.000 0.250
I1 I 0.000 0.240 0.000
I2 I 0.000 0.240 0.500
F1 F 0.231 0.500 0.249

No. 5
# PBE Tm2PIF, relaxed
# **Magnetic moment**: 0.0 μB/cell
# **E_tot**: -0.4104 Ry per atom
data_Tm2PIF
_space_group_name_H-M_alt 'P 3 m 1'
_space_group_IT_number 156
_space_group_name_Hall 'P 3 -2"'
_cell_length_a 3.8785
_cell_length_b 3.8785
_cell_length_c 8.6406
_cell_angle_alpha 90.00
_cell_angle_beta 90.00
_cell_angle_gamma 120.00
loop_
_atom_site_label
_atom_site_type_symbol
_atom_site_fract_x
_atom_site_fract_y
_atom_site_fract_z
Tm1 Tm 0.0000 0.0000 0.0000
Tm2 Tm 0.3333 0.6667 0.6486
P1 P 0.6667 0.3333 0.8219
I1 I 0.0000 0.0000 0.4073
F1 F 0.3333 0.6667 0.1033

No. 6
# PBE Zr2PIF, relaxed
# **Magnetic moment**: 0.0 μB/cell
# **E_tot**: -0.4995 Ry per atom
data_Zr2PIF
_space_group_name_H-M_alt 'P 3 m 1'
_space_group_IT_number 156
_space_group_name_Hall 'P 3 -2"'
_cell_length_a 3.7296
_cell_length_b 3.7296
_cell_length_c 8.8057
_cell_angle_alpha 90.00
_cell_angle_beta 90.00
_cell_angle_gamma 120.00
loop_
_atom_site_label
_atom_site_type_symbol
_atom_site_fract_x
_atom_site_fract_y
_atom_site_fract_z
Zr1 Zr 0.0000 0.0000 0.0000
Zr2 Zr 0.3333 0.6667 0.3082
P1 P 0.6667 0.3333 0.1554
I1 I 0.3333 0.6667 0.7621
F1 F 0.0000 0.0000 0.4398

No. 7
# PBE PaI2F2, relaxed
# **Magnetic moment**: 4.0 μB/cell
# **E_tot**: -0.4043 Ry per atom
data_PaI2F2
_space_group_name_H-M_alt 'I m m m'
_space_group_IT_number 71
_space_group_name_Hall '-I 2 2'
_cell_length_a 8.018
_cell_length_b 8.211
_cell_length_c 8.521
_cell_angle_alpha 90.00
_cell_angle_beta 90.00
_cell_angle_gamma 90.00
loop_
_atom_site_label
_atom_site_type_symbol
_atom_site_fract_x
_atom_site_fract_y
_atom_site_fract_z
Pa1 Pa 0.245 0.000 0.000
I1 I 0.000 0.000 0.275
I2 I 0.000 0.500 0.233
F1 F 0.237 0.250 0.000

No. 8
# PBE Sm2IF3, relaxed
# **Magnetic moment**: 4.5 μB/cell
# **E_tot**: -0.4034 Ry per atom
data_Sm2IF3
_space_group_name_H-M_alt 'C 2 2 21'
_space_group_IT_number 20
_space_group_name_Hall 'C 2c 2'
_cell_length_a 4.262
_cell_length_b 13.654
_cell_length_c 8.244
_cell_angle_alpha 90.00
_cell_angle_beta 90.00
_cell_angle_gamma 90.00
loop_
_atom_site_label
_atom_site_type_symbol
_atom_site_fract_x
_atom_site_fract_y
_atom_site_fract_z
Sm1 Sm 0.003 0.132 0.028
I1 I 0.000 0.481 0.250
F1 F 0.000 0.229 0.250
F2 F 0.002 0.306 0.955

No. 9
# PBE TcI2F2, relaxed
# **Magnetic moment**: 8.0 μB/cell
# **E_tot**: -0.3269 Ry per atom
data_TcI2F2
_space_group_name_H-M_alt 'I m m m'
_space_group_IT_number 71
_space_group_name_Hall '-I 2 2'
_cell_length_a 7.171
_cell_length_b 7.670
_cell_length_c 8.026
_cell_angle_alpha 90.00
_cell_angle_beta 90.00
_cell_angle_gamma 90.00
loop_
_atom_site_label
_atom_site_type_symbol
_atom_site_fract_x
_atom_site_fract_y
_atom_site_fract_z
Tc1 Tc 0.212 0.000 0.000
I1 I 0.000 0.000 0.273
I2 I 0.000 0.500 0.276
F1 F 0.216 0.254 0.000

No. 10
# PBE In3IrF, relaxed
# **Magnetic moment**: 0.0 μB/cell
# **E_tot**: -0.3340 Ry per atom
data_In3IrF
_space_group_name_H-M_alt 'C m m m'
_space_group_IT_number 65
_space_group_name_Hall '-C 2 2'
_cell_length_a 10.293
_cell_length_b 10.337
_cell_length_c 5.133
_cell_angle_alpha 90.00
_cell_angle_beta 90.00
_cell_angle_gamma 90.00
loop_
_atom_site_label
_atom_site_type_symbol
_atom_site_fract_x
_atom_site_fract_y
_atom_site_fract_z
In1 In 0.000 0.000 0.000
In2 In 0.000 0.191 0.500
In3 In 0.000 0.500 0.000
In4 In 0.250 0.250 0.000
Ir1 Ir 0.000 0.251 0.000
F1 F 0.130 0.000 0.500

No. 11
# PBE Nb4InO5F, relaxed
# **Magnetic moment**: 0.0 μB/cell
# **E_tot**: -0.6146 Ry per atom
data_Nb4InO5F
_space_group_name_H-M_alt 'P 4/m m m'
_space_group_IT_number 123
_space_group_name_Hall '-P 4 2'
_cell_length_a 4.186
_cell_length_b 4.186
_cell_length_c 8.488
_cell_angle_alpha 90.00
_cell_angle_beta 90.00
_cell_angle_gamma 90.00
loop_
_atom_site_label
_atom_site_type_symbol
_atom_site_fract_x
_atom_site_fract_y
_atom_site_fract_z
Nb1 Nb 0.000 0.000 0.238
Nb2 Nb 0.000 0.500 0.000
In1 In 0.500 0.500 0.500
O1 O 0.000 0.500 0.249
O2 O 0.500 0.500 0.000
F1 F 0.000 0.000 0.500

No. 12
# PBE Rb2NbInF6, relaxed
# **Magnetic moment**: 4.0 μB/cell
# **E_tot**: -0.3705 Ry per atom
data_Rb2NbInF6
_space_group_name_H-M_alt 'I 4/m'
_space_group_IT_number 87
_space_group_name_Hall '-I 4'
_cell_length_a 6.151
_cell_length_b 6.151
_cell_length_c 9.227
_cell_angle_alpha 90.00
_cell_angle_beta 90.00
_cell_angle_gamma 90.00
loop_
_atom_site_label
_atom_site_type_symbol
_atom_site_fract_x
_atom_site_fract_y
_atom_site_fract_z
Rb1 Rb 0.000 0.500 0.250
Nb1 Nb 0.000 0.000 0.000
In1 In 0.000 0.000 0.500
F1 F 0.000 0.000 0.232
F2 F 0.140 0.303 0.000

No. 13
# PBE Nd2InO3F, relaxed
# **Magnetic moment**: 0.1 μB/cell
# **E_tot**: -0.4914 Ry per atom
data_Nd2InO3F
_space_group_name_H-M_alt 'P 4/n m m'
_space_group_IT_number 129
_cell_length_a 3.741
_cell_length_b 3.741
_cell_length_c 16.224
_cell_angle_alpha 90.00
_cell_angle_beta 90.00
_cell_angle_gamma 90.00
loop_
_space_group_symop_operation_xyz
'x,y,z'
'-x,-y,-z'
'-y+1/2,x,z'
'y+1/2,-x,-z'
'-x+1/2,-y+1/2,z'
'x+1/2,y+1/2,-z'
'y,-x+1/2,z'
'-y,x+1/2,-z'
'x+1/2,-y,-z'
'-x+1/2,y,z'
'-y,-x,-z'
'y,x,z'
'-x,y+1/2,-z'
'x,-y+1/2,z'
'y+1/2,x+1/2,-z'
'-y+1/2,-x+1/2,z'
loop_
_atom_site_label
_atom_site_type_symbol
_atom_site_fract_x
_atom_site_fract_y
_atom_site_fract_z
Nd1 Nd 0.250 0.250 0.087
Nd2 Nd 0.250 0.250 0.395
In1 In 0.250 0.250 0.753
O1 O 0.250 0.250 0.951
O2 O 0.250 0.750 0.315
F1 F 0.250 0.250 0.544

No. 14
# PBE In2OsF6, relaxed
# **Magnetic moment**: 2.0 μB/cell
# **E_tot**: -0.3417 Ry per atom
data_In2OsF6
_space_group_name_H-M_alt 'P -1'
_space_group_IT_number 2
_space_group_name_Hall '-P 1'
_cell_length_a 5.597
_cell_length_b 5.620
_cell_length_c 5.682
_cell_angle_alpha 90.61
_cell_angle_beta 119.44
_cell_angle_gamma 118.90
loop_
_atom_site_label
_atom_site_type_symbol
_atom_site_fract_x
_atom_site_fract_y
_atom_site_fract_z
In1 In 0.005 0.246 0.257
Os1 Os 0.500 0.500 0.000
F1 F 0.011 0.259 0.757
F2 F 0.496 0.745 0.244
F3 F 0.500 0.253 0.244

No. 15
# PBE RbIn2PdF5, relaxed
# **E_tot**: -0.3006 Ry per atom
data_RbIn2PdF5
_space_group_name_H-M_alt 'P 4/m b m'
_space_group_IT_number 127
_space_group_name_Hall '-P 4 2ab'
_cell_length_a 6.884
_cell_length_b 6.884
_cell_length_c 5.655
_cell_angle_alpha 90.00
_cell_angle_beta 90.00
_cell_angle_gamma 90.00
loop_
_atom_site_label
_atom_site_type_symbol
_atom_site_fract_x
_atom_site_fract_y
_atom_site_fract_z
Rb1 Rb 0.000 0.000 0.000
In1 In 0.139 0.361 0.500
Pd1 Pd 0.000 0.500 0.000
F1 F 0.000 0.000 0.500
F2 F 0.206 0.706 0.244

No. 16
# PBE TlIn2PdF6, relaxed
# **E_tot**: -0.2864 Ry per atom
data_TlIn2PdF6
_space_group_name_H-M_alt 'F m -3 m'
_space_group_IT_number 225
_space_group_name_Hall '-F 4 2 3'
_cell_length_a 8.841
_cell_length_b 8.841
_cell_length_c 8.841
_cell_angle_alpha 90.00
_cell_angle_beta 90.00
_cell_angle_gamma 90.00
loop_
_atom_site_label
_atom_site_type_symbol
_atom_site_fract_x
_atom_site_fract_y
_atom_site_fract_z
Tl1 Tl 0.000 0.000 0.000
In1 In 0.250 0.250 0.250
Pd1 Pd 0.000 0.000 0.500
F1 F 0.000 0.000 0.265

No. 17
# PBE PmIn2F6, relaxed
# **Magnetic moment**: 0.2 μB/cell
# **E_tot**: -0.3782 Ry per atom
data_PmIn2F6
_space_group_name_H-M_alt 'P -6 2 m'
_space_group_IT_number 189
_space_group_name_Hall 'P -6 -2'
_cell_length_a 6.4870
_cell_length_b 6.4870
_cell_length_c 3.4668
_cell_angle_alpha 90.00
_cell_angle_beta 90.00
_cell_angle_gamma 120.00
loop_
_atom_site_label
_atom_site_type_symbol
_atom_site_fract_x
_atom_site_fract_y
_atom_site_fract_z
Pm1 Pm 0.0000 0.0000 0.0000
In1 In 0.3333 0.6667 0.5000
F1 F 0.0000 0.2441 0.5000
F2 F 0.0000 0.6282 0.0000

No. 18
# PBE In2PtF6, relaxed
# **Magnetic moment**: 0.0 μB/cell
# **E_tot**: -0.2924 Ry per atom
data_In2PtF6
_space_group_name_H-M_alt 'P -1'
_space_group_IT_number 2
_space_group_name_Hall '-P 1'
_cell_length_a 5.605
_cell_length_b 5.625
_cell_length_c 5.665
_cell_angle_alpha 60.75
_cell_angle_beta 60.42
_cell_angle_gamma 60.75
loop_
_atom_site_label
_atom_site_type_symbol
_atom_site_fract_x
_atom_site_fract_y
_atom_site_fract_z
In1 In 0.248 0.254 0.257
Pt1 Pt 0.000 0.000 0.000
F1 F 0.244 0.752 0.756
F2 F 0.248 0.759 0.242
F3 F 0.249 0.245 0.757

No. 19
# PBE Rb2ZnInF6, relaxed
# **E_tot**: -0.3019 Ry per atom
data_Rb2ZnInF6
_space_group_name_H-M_alt 'P -3 1 c'
_space_group_IT_number 163
_space_group_name_Hall '-P 3 2c'
_cell_length_a 5.8932
_cell_length_b 5.8932
_cell_length_c 11.7301
_cell_angle_alpha 90.00
_cell_angle_beta 90.00
_cell_angle_gamma 120.00
loop_
_atom_site_label
_atom_site_type_symbol
_atom_site_fract_x
_atom_site_fract_y
_atom_site_fract_z
Rb1 Rb 0.3333 0.6667 0.0551
Zn1 Zn 0.3333 0.6667 0.7500
In1 In 0.0000 0.0000 0.2500
F1 F 0.0983 0.3572 0.8578

No. 20
# PBE In2TcF, relaxed
# **Magnetic moment**: 0.0 μB/cell
# **E_tot**: -0.3573 Ry per atom
data_In2TcF
_space_group_name_H-M_alt 'P 63/m m c'
_space_group_IT_number 194
_space_group_name_Hall '-P 6c 2c'
_cell_length_a 3.1296
_cell_length_b 3.1296
_cell_length_c 15.9969
_cell_angle_alpha 90.00
_cell_angle_beta 90.00
_cell_angle_gamma 120.00
loop_
_atom_site_label
_atom_site_type_symbol
_atom_site_fract_x
_atom_site_fract_y
_atom_site_fract_z
In1 In 0.3333 0.6667 0.1190
Tc1 Tc 0.3333 0.6667 0.7500
F1 F 0.0000 0.0000 0.0000